VASP calculation (PBE) on crystalline Be2NbCo2 at its relaxed geometry.

Cell lengths 8.752, 8.752, 8.752 Å; angles 156.02, 156.02, 34.17 degrees
Atoms (fractional coordinates):
Be 0.071 0.071 0.000
Be 0.250 0.750 0.500
Be 0.750 0.250 0.500
Be 0.929 0.929 0.000
Nb 0.380 0.380 0.000
Nb 0.620 0.620 0.000
Co 0.000 0.500 0.500
Co 0.197 0.197 0.000
Co 0.500 0.000 0.500
Co 0.803 0.803 0.000

## Properties
Size of the total moment: 0.00 μB per formula unit
Relative energy among the computed polymorphs: 125 meV/atom
Formation energy from the elements: -0.0750 eV/atom

VASP calculation (PBE) on crystalline Rb2P2Au at its relaxed geometry.

Cell lengths 6.431, 6.431, 9.352 Å; angles 90.00, 90.00, 90.00 degrees
Atoms (fractional coordinates):
Rb 0.000 0.500 0.250
Rb 0.000 0.500 0.750
Rb 0.500 0.000 0.250
Rb 0.500 0.000 0.750
P 0.000 0.000 0.106
P 0.000 0.000 0.894
P 0.500 0.500 0.394
P 0.500 0.500 0.606
Au 0.000 0.000 0.500
Au 0.500 0.500 0.000

## Properties
Size of the total moment: 1.00 μB per formula unit
Formation energy from the elements: 0.0047 eV/atom

VASP calculation (PBE) on crystalline Be6Co at its relaxed geometry.

Cell lengths 4.843, 4.843, 4.843 Å; angles 90.00, 90.00, 90.00 degrees
Atoms (fractional coordinates):
Be 0.000 0.000 0.303
Be 0.000 0.000 0.697
Be 0.000 0.303 0.000
Be 0.000 0.697 0.000
Be 0.303 0.000 0.000
Be 0.697 0.000 0.000
Co 0.500 0.500 0.500

## Properties
Size of the total moment: 2.60 μB per formula unit
Relative energy among the computed polymorphs: 1774 meV/atom
Formation energy from the elements: 1.7028 eV/atom

VASP calculation (PBE) on crystalline HfVCo2 at its relaxed geometry.

Cell lengths 4.265, 4.265, 3.087 Å; angles 90.00, 90.00, 90.00 degrees
Atoms (fractional coordinates):
Hf 0.000 0.000 0.000
V 0.500 0.500 0.000
Co 0.000 0.500 0.500
Co 0.500 0.000 0.500

## Properties
Size of the total moment: 3.12 μB per formula unit
Relative energy among the computed polymorphs: 35 meV/atom
Formation energy from the elements: -0.1676 eV/atom

VASP calculation (PBE) on crystalline Nd2TlSb at its relaxed geometry.

Cell lengths 4.288, 4.288, 25.361 Å; angles 90.00, 90.00, 120.00 degrees
Atoms (fractional coordinates):
Nd 0.000 0.000 0.000
Nd 0.000 0.000 0.183
Nd 0.333 0.667 0.667
Nd 0.333 0.667 0.849
Nd 0.667 0.333 0.333
Nd 0.667 0.333 0.516
Tl 0.000 0.000 0.424
Tl 0.333 0.667 0.091
Tl 0.667 0.333 0.758
Sb 0.000 0.000 0.593
Sb 0.333 0.667 0.259
Sb 0.667 0.333 0.926

## Properties
Energy relative to the elements, uncorrected: -0.627 eV per atom
Size of the total moment: 0.00 μB per formula unit
Relative energy among the computed polymorphs: 139 meV/atom

VASP calculation (PBE) on crystalline YHo2Ga at its relaxed geometry.

Cell lengths 3.494, 3.494, 33.508 Å; angles 90.00, 90.00, 120.00 degrees
Atoms (fractional coordinates):
Y 0.000 0.000 0.000
Y 0.333 0.667 0.667
Y 0.667 0.333 0.333
Ho 0.000 0.000 0.102
Ho 0.000 0.000 0.898
Ho 0.333 0.667 0.565
Ho 0.333 0.667 0.769
Ho 0.667 0.333 0.231
Ho 0.667 0.333 0.435
Ga 0.000 0.000 0.500
Ga 0.333 0.667 0.167
Ga 0.667 0.333 0.833

## Properties
Size of the total moment: 1.09 μB per formula unit
Relative energy among the computed polymorphs: 280 meV/atom
Formation energy from the elements: -0.0021 eV/atom

VASP calculation (PBE) on crystalline AlGeP at its relaxed geometry.

Cell lengths 3.934, 4.604, 7.943 Å; angles 73.91, 85.87, 74.21 degrees
Atoms (fractional coordinates):
Al 0.000 0.000 0.000
Al 0.295 0.230 0.405
Ge 0.281 0.658 0.561
Ge 0.810 0.485 0.754
P 0.604 0.701 0.003
P 0.810 0.272 0.222

## Properties
Size of the total moment: 0.00 μB per formula unit
Relative energy among the computed polymorphs: 232 meV/atom
Formation energy from the elements: -0.1149 eV/atom

VASP calculation (PBE) on crystalline Ga3CuSi at its relaxed geometry.

Cell lengths 4.788, 4.788, 4.788 Å; angles 90.00, 90.00, 90.00 degrees
Atoms (fractional coordinates):
Ga 0.000 0.000 0.500
Ga 0.000 0.500 0.000
Ga 0.500 0.000 0.000
Cu 0.500 0.500 0.500
Si 0.000 0.000 0.000

## Properties
Energy relative to the elements, uncorrected: 0.607 eV per atom
Size of the total moment: 0.00 μB per formula unit
Relative energy among the computed polymorphs: 166 meV/atom

VASP calculation (PBE) on crystalline Tb2HoEr6Sc3 at its relaxed geometry.

Cell lengths 6.002, 6.002, 11.407 Å; angles 95.03, 95.03, 119.96 degrees
Atoms (fractional coordinates):
Tb 0.167 0.833 0.000
Tb 0.833 0.167 0.000
Ho 0.500 0.500 0.000
Er 0.080 0.414 0.741
Er 0.253 0.253 0.259
Er 0.414 0.080 0.741
Er 0.586 0.920 0.259
Er 0.747 0.747 0.741
Er 0.920 0.586 0.259
Sc 0.000 0.000 0.500
Sc 0.333 0.667 0.500
Sc 0.667 0.333 0.500

## Properties
Size of the total moment: 0.00 μB per formula unit
Formation energy from the elements: 0.0430 eV/atom

VASP calculation (PBE) on crystalline Tm2CdHg4 at its relaxed geometry.

Cell lengths 5.470, 5.470, 12.501 Å; angles 90.00, 90.00, 90.00 degrees
Atoms (fractional coordinates):
Tm 0.000 0.000 0.138
Tm 0.000 0.000 0.862
Tm 0.500 0.500 0.362
Tm 0.500 0.500 0.638
Cd 0.000 0.000 0.500
Cd 0.500 0.500 0.000
Hg 0.000 0.500 0.000
Hg 0.000 0.500 0.250
Hg 0.000 0.500 0.500
Hg 0.000 0.500 0.750
Hg 0.500 0.000 0.000
Hg 0.500 0.000 0.250
Hg 0.500 0.000 0.500
Hg 0.500 0.000 0.750

## Properties
Size of the total moment: 0.00 μB per formula unit
Relative energy among the computed polymorphs: 150 meV/atom
Formation energy from the elements: -0.1087 eV/atom

VASP calculation (PBE) on crystalline Nd3TmSn2 at its relaxed geometry.

Cell lengths 4.630, 4.630, 8.708 Å; angles 90.00, 90.00, 90.00 degrees
Atoms (fractional coordinates):
Nd 0.000 0.000 0.000
Nd 0.000 0.500 0.651
Nd 0.500 0.000 0.349
Tm 0.500 0.500 0.000
Sn 0.000 0.500 0.276
Sn 0.500 0.000 0.724

## Properties
Size of the total moment: 0.00 μB per formula unit
Relative energy among the computed polymorphs: 3 meV/atom
Formation energy from the elements: -0.5720 eV/atom

VASP calculation (PBE) on crystalline Sr2BeIrRu at its relaxed geometry.

Cell lengths 5.464, 5.464, 4.048 Å; angles 90.00, 90.00, 90.00 degrees
Atoms (fractional coordinates):
Sr 0.000 0.500 0.000
Sr 0.500 0.000 0.000
Be 0.000 0.000 0.000
Ir 0.500 0.500 0.500
Ru 0.000 0.000 0.500

## Properties
Size of the total moment: 0.00 μB per formula unit
Formation energy from the elements: 0.7319 eV/atom